Here is a relaxed structure of Mg3ReC from Alexandria. Energies are from PBE.

CIF file:
```
data_Mg3ReC
_chemical_formula_sum 'Mg3 Re1 C1'
_cell_length_a 4.351
_cell_length_b 4.351
_cell_length_c 4.351
_cell_angle_alpha 90.00
_cell_angle_beta 90.00
_cell_angle_gamma 90.00
_space_group_name_H-M_alt 'P m -3 m'
_space_group_IT_number 221
_space_group_name_Hall '-P 4 2 3'
loop_
_atom_site_label
_atom_site_fract_x
_atom_site_fract_y
_atom_site_fract_z
Mg1 0.000 0.000 0.500
Re1 0.500 0.500 0.500
C1 0.000 0.000 0.000
```

Summary:
**Energy**: -21.95 eV for the cell shown
**Size of the total moment**: 3.01 Bohr magnetons per cell
**Formation energy**: 0.901 eV per atom